Record 1
A plane-wave DFT calculation with PBE-GGA was carried out for crystalline BaY2Hg2 at its relaxed geometry.

Unit cell a=9.1661 b=9.1661 c=3.5601 alpha=90.00 beta=90.00 gamma=90.00
With the nearest neighbours (Å) after each atom.
Atoms (fractional coordinates):
Ba 0.0000 0.0000 0.0000  2 Ba 3.56, 4 Y 3.59, 8 Hg 3.85
Ba 0.5000 0.5000 0.0000  2 Ba 3.56, 4 Y 3.59, 8 Hg 3.85
Y 0.1304 0.3696 0.0000  6 Hg 3.16-3.28, 1 Y 3.38
Y 0.3696 0.8696 0.0000  6 Hg 3.16-3.28, 1 Y 3.38
Y 0.6304 0.1304 0.0000  6 Hg 3.16-3.28, 1 Y 3.38
Y 0.8696 0.6304 0.0000  6 Hg 3.16-3.28, 1 Y 3.38
Hg 0.1677 0.6677 0.5000  6 Y 3.16-3.28
Hg 0.3323 0.1677 0.5000  6 Y 3.16-3.28
Hg 0.6677 0.8323 0.5000  6 Y 3.16-3.28
Hg 0.8323 0.3323 0.5000  6 Y 3.16-3.28

Total magnetic moment (μB per cell): 0.00
Energy (eV per atom): -3.387
Crystal system: tetragonal
Formation enthalpy at 0 K (eV per atom): -0.296

=====

Record 2
A plane-wave DFT calculation with PBE-GGA was carried out for crystalline UAl2PdO8 at its relaxed geometry.

Unit cell a=4.6815 b=4.6815 c=6.0553 alpha=90.00 beta=90.00 gamma=91.60
With the nearest neighbours (Å) after each atom.
Atoms (fractional coordinates):
U 0.0000 0.0000 0.0000  6 O 2.08
Al 0.5000 0.5000 0.2635  6 O 1.88-1.98
Al 0.5000 0.5000 0.7365  6 O 1.88-1.98
Pd 0.0000 0.0000 0.5000  6 O 2.04-2.05
O 0.2077 0.7923 0.2547  1 Al 1.96, 1 Pd 2.04, 1 U 2.08
O 0.2077 0.7923 0.7453  1 Al 1.96, 1 Pd 2.04, 1 U 2.08
O 0.3140 0.3140 0.5000  2 Al 1.88, 1 Pd 2.05
O 0.3192 0.3192 0.0000  2 Al 1.98, 1 U 2.08
O 0.6808 0.6808 0.0000  2 Al 1.98, 1 U 2.08
O 0.6860 0.6860 0.5000  2 Al 1.88, 1 Pd 2.05
O 0.7923 0.2077 0.2547  1 Al 1.96, 1 Pd 2.04, 1 U 2.08
O 0.7923 0.2077 0.7453  1 Al 1.96, 1 Pd 2.04, 1 U 2.08

Total magnetic moment (μB per cell): 0.00
Energy (eV per atom): -7.573
Crystal system: orthorhombic
Formation energy from raw total energies (meV per atom): -2271

=====

Record 3
A plane-wave DFT calculation with PBE-GGA was carried out for crystalline BaLiLaIn at its relaxed geometry.

Unit cell a=5.7933 b=5.7933 c=5.7933 alpha=60.00 beta=60.00 gamma=60.00
With the nearest neighbours (Å) after each atom.
Atoms (fractional coordinates):
Ba 0.0000 0.0000 0.0000  4 In 3.55, 4 Li 3.55
Li 0.7500 0.7500 0.7500  4 La 3.55, 4 Ba 3.55
La 0.5000 0.5000 0.5000  4 In 3.55, 4 Li 3.55
In 0.2500 0.2500 0.2500  4 La 3.55, 4 Ba 3.55

Total magnetic moment (μB per cell): 0.00
Energy (eV per atom): -3.043
Crystal system: cubic
Formation enthalpy at 0 K (eV per atom): -0.167